This record from the Alexandria database describes an optimized crystal structure of LaMo2. The functional is PBE.

Calculated values
As for the formation energy: 0.591 eV/atom. As for the total magnetization: 0.00 μB/cell.

a b c (Å): 4.5891 4.5891 3.2390
angles (deg): 90.00 90.00 120.00
Space group P-3m1 (No. 164)
Unique sites:
1 La 0.0000 0.0000 0.0000 x1
2 Mo 0.3333 0.6667 0.3454 x2